Compound: Te2RuBr
Source: Alexandria via LeMat-Bulk
Functional: PBEsol
Structure: relaxed

Cell: 5.845 8.760 3.330 Å, 90.00 90.00 90.00°
Fractional coordinates of all 8 atoms:
Te: 0.250 0.250 0.000
Te: 0.250 0.750 0.000
Te: 0.750 0.250 0.000
Te: 0.750 0.750 0.000
Ru: 0.000 0.000 0.500
Ru: 0.500 0.500 0.500
Br: 0.000 0.500 0.500
Br: 0.500 0.000 0.500

Formation energy without anion corrections: 0.727 eV per atom

=====

Compound: TeRuBr4
Source: Alexandria via LeMat-Bulk
Functional: PBEsol
Structure: relaxed

Cell: 5.938 5.938 5.938 Å, 60.00 60.00 60.00°
Fractional coordinates of all 6 atoms:
Te: 0.000 0.000 0.000
Ru: 0.750 0.750 0.750
Br: 0.376 0.376 0.376
Br: 0.376 0.376 0.873
Br: 0.376 0.873 0.376
Br: 0.873 0.376 0.376

Formation energy without anion corrections: 1.262 eV per atom

=====

Compound: TeRuBr
Source: Alexandria via LeMat-Bulk
Functional: PBEsol
Structure: relaxed

Cell: 3.806 3.806 5.552 Å, 90.00 90.00 120.00°
Fractional coordinates of all 3 atoms:
Te: 0.000 0.000 0.000
Ru: 0.667 0.333 0.230
Br: 0.333 0.667 0.500

Formation energy without anion corrections: -0.053 eV per atom

=====

Compound: Te2RuBr
Source: Alexandria via LeMat-Bulk
Functional: PBEsol
Structure: relaxed

Cell: 3.656 3.656 7.971 Å, 90.00 90.00 90.00°
Fractional coordinates of all 4 atoms:
Te: 0.000 0.000 0.000
Te: 0.500 0.500 0.355
Ru: 0.500 0.500 0.040
Br: 0.000 0.000 0.666

Formation energy without anion corrections: 0.260 eV per atom